Density functional theory data (GGA-PBE) for a relaxed structure of Ce3Hg5Rh2.

space group = Ibam
crystal system = orthorhombic
volume = 24.9 Å³ per atom
density = 10.85 Mg/m³
total magnetic moment = 0.24 μB/atom
ΔH_f (0 K) = -0.2736 eV/atom
final energy = -3.675 eV per atom

Geometry as POSCAR:
```
Ce3Hg5Rh2
1.0
-0.5789 3.2986 5.6844
3.4560 -4.9681 7.0636
7.6517 5.0073 1.7023
Rh Ce Hg
4 6 10
direct
0.8886 0.2294 0.9935 Rh
0.3886 0.9935 0.2294 Rh
0.1114 0.7706 0.0065 Rh
0.6114 0.0065 0.7706 Rh
0.2500 0.0000 0.0000 Ce
0.6363 0.6028 0.1247 Ce
0.3637 0.3972 0.8753 Ce
0.1363 0.1247 0.6028 Ce
0.8637 0.8753 0.3972 Ce
0.7500 0.0000 0.0000 Ce
0.8839 0.4550 0.7771 Hg
0.3839 0.7771 0.4550 Hg
0.9933 0.2567 0.2567 Hg
0.4933 0.2567 0.2567 Hg
0.7500 0.5000 0.5000 Hg
0.5067 0.7433 0.7433 Hg
0.0067 0.7433 0.7433 Hg
0.6161 0.2229 0.5450 Hg
0.1161 0.5450 0.2229 Hg
0.2500 0.5000 0.5000 Hg
```